No. 1
A plane-wave DFT calculation with PBE was carried out for a geometry-optimized RbMg14Bi structure.

Cell lengths 6.666, 6.666, 10.628 Å; angles 90.00, 90.00, 120.15 degrees
Fractional positions:
Rb: 0.838 0.162 0.500
Mg: 0.831 0.169 0.000
Mg: 0.328 0.672 0.000
Mg: 0.344 0.173 0.500
Mg: 0.330 0.161 0.000
Mg: 0.827 0.656 0.500
Mg: 0.839 0.670 0.000
Mg: 0.173 0.336 0.234
Mg: 0.173 0.336 0.766
Mg: 0.664 0.827 0.234
Mg: 0.664 0.827 0.766
Mg: 0.660 0.340 0.239
Mg: 0.660 0.340 0.761
Mg: 0.162 0.838 0.259
Mg: 0.162 0.838 0.741
Bi: 0.346 0.654 0.500

symmetry	Amm2 (38)
E_tot	-1.610	eV per atom
relative energy among the computed polymorphs	0.00	kJ per mole of atoms
volume	408.3	Å³/cell

No. 2
A plane-wave DFT calculation with PBE was carried out for a geometry-optimized InNiMo2 structure.

Cell lengths 4.832, 4.832, 5.082 Å; angles 82.08, 82.08, 33.00 degrees
Fractional positions:
In: 0.759 0.759 0.726
Mo: 0.998 0.998 0.026
Mo: 0.235 0.235 0.240
Ni: 0.507 0.507 0.508

symmetry	Cm (8)
E_tot	-7.253	eV per atom
volume	63.9	Å³/cell

No. 3
A plane-wave DFT calculation with PBE was carried out for a geometry-optimized EuHoTlIr structure.

Cell lengths 5.147, 5.147, 5.147 Å; angles 60.00, 60.00, 60.00 degrees
Fractional positions:
Eu: 0.750 0.750 0.750
Tl: 0.500 0.500 0.500
Ir: 0.000 0.000 0.000
Ho: 0.250 0.250 0.250

symmetry	F-43m (216)
E_tot	-6.863	eV per atom
volume	96.4	Å³/cell

No. 4
A plane-wave DFT calculation with PBE was carried out for a geometry-optimized YHoZr2P4 structure.

Cell lengths 3.843, 6.662, 6.741 Å; angles 109.29, 90.00, 90.00 degrees
Fractional positions:
Y: 0.000 0.000 0.000
Ho: 0.500 0.500 0.000
Zr: 0.500 0.000 0.500
Zr: 0.000 0.500 0.500
P: 0.500 0.256 0.264
P: 0.500 0.744 0.736
P: 0.000 0.246 0.737
P: 0.000 0.754 0.263

symmetry	P2/m (10)
E_tot	-7.706	eV per atom
volume	162.9	Å³/cell

No. 5
A plane-wave DFT calculation with PBE was carried out for a geometry-optimized V4Ir7Os structure.

Cell lengths 4.551, 7.568, 6.200 Å; angles 81.80, 68.47, 72.50 degrees
Fractional positions:
V: 0.572 0.219 0.638
V: 0.428 0.781 0.362
V: 0.714 0.662 0.909
V: 0.286 0.338 0.091
Ir: 0.788 0.870 0.553
Ir: 0.212 0.130 0.447
Ir: 0.082 0.655 0.181
Ir: 0.918 0.345 0.819
Ir: 0.350 0.589 0.712
Ir: 0.500 0.000 0.000
Ir: 0.650 0.411 0.288
Os: 0.000 0.000 0.000

symmetry	C2/m (12)
E_tot	-8.917	eV per atom
volume	189.3	Å³/cell

No. 6
A plane-wave DFT calculation with PBE was carried out for a geometry-optimized Dy3MgAl structure.

Cell lengths 5.133, 5.130, 10.422 Å; angles 90.00, 75.74, 90.00 degrees
Fractional positions:
Dy: 0.762 0.250 0.125
Dy: 0.388 0.250 0.873
Dy: 0.575 0.250 0.499
Dy: 0.261 0.750 0.127
Dy: 0.887 0.750 0.875
Dy: 0.074 0.750 0.501
Mg: 0.667 0.750 0.315
Mg: 0.982 0.250 0.685
Al: 0.483 0.750 0.682
Al: 0.165 0.250 0.318

symmetry	Cmcm (63)
E_tot	-4.022	eV per atom
relative energy among the computed polymorphs	0.00	kJ per mole of atoms
volume	266.0	Å³/cell

Which of these has the lowest volume?
InNiMo2

Number 4 is which compound?
YHoZr2P4

Among the records above, which one has the lowest E_tot?
V4Ir7Os